Record 1
First-principles (PBE) data for LiVSe3 after structural relaxation, as listed in Alexandria.

Lattice parameters (Å, degrees): 5.821 7.054 7.055 67.44 75.51 104.49
Positions (direct):
Li (0.035, 0.698, 0.427)
Li (0.535, 0.229, 0.957)
Se (0.023, 0.096, 0.235)
Se (0.946, 0.271, 0.634)
Se (0.723, 0.591, 0.001)
Se (0.446, 0.022, 0.385)
Se (0.523, 0.421, 0.560)
Se (0.223, 0.655, 0.065)
V (0.313, 0.347, 0.319)
V (0.813, 0.336, 0.309)

Values from the calculation:
SG: Cc
Energy above the most stable polymorph in this dataset: 0.015 eV per atom
Energy relative to the elements, uncorrected: -0.7284 eV/atom


Record 2
First-principles (PBE) data for La6Tb2Mg after structural relaxation, as listed in Alexandria.

Lattice parameters (Å, degrees): 6.082 12.164 12.164 46.40 76.16 76.16
Positions (direct):
La (0.385, 0.716, 0.582)
La (0.115, 0.418, 0.284)
La (0.615, 0.284, 0.418)
La (0.885, 0.582, 0.716)
La (0.866, 0.923, 0.335)
La (0.634, 0.665, 0.077)
La (0.134, 0.077, 0.665)
La (0.366, 0.335, 0.923)
La (0.053, 0.813, 0.082)
La (0.447, 0.918, 0.187)
La (0.947, 0.187, 0.918)
La (0.553, 0.082, 0.813)
Tb (0.222, 0.653, 0.901)
Tb (0.278, 0.099, 0.347)
Tb (0.778, 0.347, 0.099)
Tb (0.722, 0.901, 0.653)
Mg (0.250, 0.505, 0.495)
Mg (0.750, 0.495, 0.505)

Values from the calculation:
ΔE_f: 0.092 eV/atom
SG: C2/c


Record 3
First-principles (PBE) data for LaGeSe2Br after structural relaxation, as listed in Alexandria.

Lattice parameters (Å, degrees): 5.802 5.802 5.643 90.00 90.00 90.00
Each line ends with the local moment (μB).
Positions (direct):
Ge (0.500, 0.500, 0.500)  -0.14
Se (0.000, 0.500, 0.000)  0.07
Se (0.500, 0.000, 0.000)  0.07
Br (0.000, 0.000, 0.500)  -0.01
La (0.000, 0.000, 0.000)  0.00

Values from the calculation:
SG: P4/mmm
Energy above the most stable polymorph in this dataset: 0.320 eV per atom
Energy relative to the elements, uncorrected: -0.4396 eV/atom


Record 4
First-principles (PBE) data for Ca4Y after structural relaxation, as listed in Alexandria.

Lattice parameters (Å, degrees): 6.164 6.164 6.164 90.00 90.00 90.00
Each line ends with the local moment (μB).
Positions (direct):
Y (0.500, 0.500, 0.500)  0.61
Ca (0.000, 0.000, 0.000)  -0.01
Ca (0.500, 0.000, 0.500)  0.10
Ca (0.000, 0.500, 0.500)  0.10
Ca (0.500, 0.500, 0.000)  0.10

Values from the calculation:
ΔE_f: 0.666 eV/atom
SG: Pm-3m
Energy above the most stable polymorph in this dataset: 0.099 eV per atom


Record 5
First-principles (PBE) data for NaInPtO4 after structural relaxation, as listed in Alexandria.

Lattice parameters (Å, degrees): 6.395 6.520 6.529 120.05 90.00 119.37
Positions (direct):
Na (0.883, 0.767, 0.133)
Na (0.117, 0.233, 0.867)
In (0.500, 0.000, 0.500)
In (0.500, 0.000, 0.000)
Pt (0.500, 0.500, 0.500)
Pt (0.000, 0.500, 0.500)
O (0.742, 0.483, 0.693)
O (0.304, 0.059, 0.279)
O (0.755, 0.059, 0.279)
O (0.742, 0.483, 0.290)
O (0.258, 0.517, 0.710)
O (0.696, 0.941, 0.721)
O (0.245, 0.941, 0.721)
O (0.258, 0.517, 0.307)

Values from the calculation:
SG: Imma
Energy relative to the elements, uncorrected: -1.1980 eV/atom


Record 6
First-principles (PBE) data for CsUMoN4 after structural relaxation, as listed in Alexandria.

Lattice parameters (Å, degrees): 5.994 5.894 9.942 90.00 124.44 90.00
Each line ends with the local moment (μB).
Positions (direct):
Cs (0.625, 0.750, 0.892)  0.00
Cs (0.375, 0.250, 0.108)  0.00
U (0.777, 0.750, 0.463)  0.99
U (0.223, 0.250, 0.537)  0.99
Mo (0.182, 0.750, 0.356)  0.13
Mo (0.818, 0.250, 0.644)  0.13
N (0.040, 0.489, 0.648)  -0.04
N (0.960, 0.989, 0.352)  -0.04
N (0.960, 0.511, 0.352)  -0.04
N (0.040, 0.011, 0.648)  -0.04
N (0.357, 0.750, 0.248)  -0.04
N (0.643, 0.250, 0.752)  -0.04
N (0.502, 0.750, 0.554)  -0.03
N (0.498, 0.250, 0.446)  -0.03

Values from the calculation:
SG: P2_1/m
Energy relative to the elements, uncorrected: -0.6212 eV/atom